Tb9Pm4Pr11: relaxed, PBE-GGA.

Unit cell a=15.5596 b=15.5596 c=3.7274 alpha=90.00 beta=90.00 gamma=112.91
Positions (direct):
Tb (0.0000, 0.0000, 0.0000)
Tb (0.1329, 0.6643, 0.0000)
Tb (0.2885, 0.4340, 0.0000)
Tb (0.3357, 0.8671, 0.0000)
Tb (0.4340, 0.2885, 0.0000)
Tb (0.5660, 0.7115, 0.0000)
Tb (0.6643, 0.1329, 0.0000)
Tb (0.7115, 0.5660, 0.0000)
Tb (0.8671, 0.3357, 0.0000)
Pm (0.0551, 0.2577, 0.0000)
Pm (0.2577, 0.0551, 0.0000)
Pm (0.7423, 0.9449, 0.0000)
Pm (0.9449, 0.7423, 0.0000)
Pr (0.0947, 0.4567, 0.5000)
Pr (0.1328, 0.8672, 0.5000)
Pr (0.2091, 0.2091, 0.5000)
Pr (0.3404, 0.6596, 0.5000)
Pr (0.4567, 0.0947, 0.5000)
Pr (0.5000, 0.5000, 0.5000)
Pr (0.5433, 0.9053, 0.5000)
Pr (0.6596, 0.3404, 0.5000)
Pr (0.7909, 0.7909, 0.5000)
Pr (0.8672, 0.1328, 0.5000)
Pr (0.9053, 0.5433, 0.5000)

Computed properties:
Crystal system: orthorhombic

---

TbPm15Pr4: relaxed, PBE-GGA.

Unit cell a=5.1783 b=5.1783 c=25.8515 alpha=90.00 beta=90.00 gamma=90.00
Positions (direct):
Tb (0.0000, 0.0000, 0.0000)
Pm (0.0000, 0.5000, 0.0985)
Pm (0.0000, 0.5000, 0.2993)
Pm (0.0000, 0.5000, 0.5000)
Pm (0.0000, 0.5000, 0.7007)
Pm (0.0000, 0.5000, 0.9015)
Pm (0.5000, 0.0000, 0.0985)
Pm (0.5000, 0.0000, 0.2993)
Pm (0.5000, 0.0000, 0.5000)
Pm (0.5000, 0.0000, 0.7007)
Pm (0.5000, 0.0000, 0.9015)
Pm (0.5000, 0.5000, 0.0000)
Pm (0.5000, 0.5000, 0.1987)
Pm (0.5000, 0.5000, 0.3997)
Pm (0.5000, 0.5000, 0.6003)
Pm (0.5000, 0.5000, 0.8013)
Pr (0.0000, 0.0000, 0.1990)
Pr (0.0000, 0.0000, 0.3997)
Pr (0.0000, 0.0000, 0.6003)
Pr (0.0000, 0.0000, 0.8010)

Computed properties:
Crystal system: tetragonal

---

Tb2Pm7Pr: relaxed, PBE-GGA.

Unit cell a=10.4429 b=10.4429 c=3.5153 alpha=90.00 beta=90.00 gamma=109.28
Positions (direct):
Tb (0.1704, 0.8296, 0.0000)
Tb (0.8296, 0.1704, 0.0000)
Pm (0.1252, 0.3881, 0.0000)
Pm (0.3245, 0.6755, 0.5000)
Pm (0.3881, 0.1252, 0.0000)
Pm (0.5000, 0.5000, 0.0000)
Pm (0.6119, 0.8748, 0.0000)
Pm (0.6755, 0.3245, 0.5000)
Pm (0.8748, 0.6119, 0.0000)
Pr (0.0000, 0.0000, 0.5000)

Computed properties:
Crystal system: orthorhombic

---

Tb8Pm2Pr: relaxed, PBE-GGA.

Unit cell a=9.4368 b=9.4368 c=9.4368 alpha=145.69 beta=128.54 gamma=63.32
Positions (direct):
Tb (0.1549, 0.3613, 0.7936)
Tb (0.1614, 0.1614, 0.0000)
Tb (0.2948, 0.0000, 0.2948)
Tb (0.4323, 0.6387, 0.7936)
Tb (0.5677, 0.3613, 0.2064)
Tb (0.7052, 0.0000, 0.7052)
Tb (0.8386, 0.8386, 0.0000)
Tb (0.8451, 0.6387, 0.2064)
Pm (0.3001, 0.8001, 0.5000)
Pm (0.6999, 0.1999, 0.5000)
Pr (0.0000, 0.5000, 0.5000)

Computed properties:
Crystal system: orthorhombic

---

Tb6PmPr12: relaxed, PBE-GGA.

Unit cell a=8.9368 b=8.9368 c=8.9368 alpha=99.33 beta=99.33 gamma=99.33
Positions (direct):
Tb (0.1631, 0.5957, 0.5957)
Tb (0.4043, 0.4043, 0.8369)
Tb (0.4043, 0.8369, 0.4043)
Tb (0.5957, 0.1631, 0.5957)
Tb (0.5957, 0.5957, 0.1631)
Tb (0.8369, 0.4043, 0.4043)
Pm (0.5000, 0.5000, 0.5000)
Pr (0.0000, 0.2590, 0.7410)
Pr (0.0000, 0.7410, 0.2590)
Pr (0.1471, 0.1471, 0.4164)
Pr (0.1471, 0.4164, 0.1471)
Pr (0.2590, 0.0000, 0.7410)
Pr (0.2590, 0.7410, 0.0000)
Pr (0.4164, 0.1471, 0.1471)
Pr (0.5836, 0.8529, 0.8529)
Pr (0.7410, 0.0000, 0.2590)
Pr (0.7410, 0.2590, 0.0000)
Pr (0.8529, 0.5836, 0.8529)
Pr (0.8529, 0.8529, 0.5836)

Computed properties:
Crystal system: trigonal

---

Tb2Pm3Pr6: relaxed, PBE-GGA.

Unit cell a=17.5549 b=17.5549 c=17.5549 alpha=164.21 beta=164.21 gamma=22.40
Positions (direct):
Tb (0.0446, 0.0446, 0.0000)
Tb (0.9554, 0.9554, 0.0000)
Pm (0.3053, 0.3053, 0.0000)
Pm (0.5000, 0.5000, 0.0000)
Pm (0.6947, 0.6947, 0.0000)
Pr (0.1191, 0.6191, 0.5000)
Pr (0.2055, 0.2055, 0.0000)
Pr (0.3809, 0.8809, 0.5000)
Pr (0.6191, 0.1191, 0.5000)
Pr (0.7945, 0.7945, 0.0000)
Pr (0.8809, 0.3809, 0.5000)

Computed properties:
Crystal system: tetragonal

---

Tb8Pm3Pr: relaxed, PBE-GGA.

Unit cell a=8.7371 b=8.7371 c=8.7371 alpha=136.55 beta=98.23 gamma=97.52
Positions (direct):
Tb (0.0799, 0.2502, 0.8298)
Tb (0.2524, 0.2489, 0.5013)
Tb (0.2524, 0.7511, 0.0035)
Tb (0.4204, 0.2502, 0.1702)
Tb (0.5796, 0.7498, 0.8298)
Tb (0.7476, 0.2489, 0.9965)
Tb (0.7476, 0.7511, 0.4987)
Tb (0.9201, 0.7498, 0.1702)
Pm (0.2520, 0.7520, 0.5000)
Pm (0.5000, 0.5000, 0.0000)
Pm (0.7480, 0.2480, 0.5000)
Pr (0.0000, 0.0000, 0.0000)

Computed properties:
Crystal system: orthorhombic

---

TbPm2Pr: relaxed, PBE-GGA.

Unit cell a=7.0352 b=7.0352 c=7.0352 alpha=149.15 beta=129.18 gamma=60.64
Positions (direct):
Tb (0.0000, 0.0000, 0.0000)
Pm (0.5049, 0.5049, 0.0000)
Pm (0.7582, 0.2582, 0.5000)
Pr (0.2462, 0.7462, 0.5000)

Computed properties:
Crystal system: orthorhombic

---

TbPm2Pr7: relaxed, PBE-GGA.

Unit cell a=10.5008 b=10.5008 c=3.5707 alpha=90.00 beta=90.00 gamma=108.87
Positions (direct):
Tb (0.0000, 0.0000, 0.0000)
Pm (0.1679, 0.8321, 0.5000)
Pm (0.8321, 0.1679, 0.5000)
Pr (0.1275, 0.3817, 0.5000)
Pr (0.3223, 0.6777, 0.0000)
Pr (0.3817, 0.1275, 0.5000)
Pr (0.5000, 0.5000, 0.5000)
Pr (0.6183, 0.8725, 0.5000)
Pr (0.6777, 0.3223, 0.0000)
Pr (0.8725, 0.6183, 0.5000)

Computed properties:
Crystal system: orthorhombic

---

TbPm3Pr2: relaxed, PBE-GGA.

Unit cell a=6.8289 b=17.9378 c=3.4456 alpha=90.00 beta=90.00 gamma=90.00
Positions (direct):
Tb (0.0000, 0.0000, 0.0000)
Tb (0.5000, 0.5000, 0.5000)
Pm (0.0000, 0.5000, 0.0000)
Pm (0.2426, 0.1772, 0.0000)
Pm (0.2574, 0.6772, 0.5000)
Pm (0.5000, 0.0000, 0.5000)
Pm (0.7426, 0.3228, 0.5000)
Pm (0.7574, 0.8228, 0.0000)
Pr (0.2362, 0.3484, 0.5000)
Pr (0.2638, 0.8484, 0.0000)
Pr (0.7362, 0.1516, 0.0000)
Pr (0.7638, 0.6516, 0.5000)

Computed properties:
Crystal system: orthorhombic

---

Tb12Pm7Pr: relaxed, PBE-GGA.

Unit cell a=8.7891 b=8.7891 c=8.7891 alpha=94.92 beta=94.92 gamma=94.92
Positions (direct):
Tb (0.1475, 0.4162, 0.4818)
Tb (0.1851, 0.7488, 0.3177)
Tb (0.2512, 0.6823, 0.8149)
Tb (0.3177, 0.1851, 0.7488)
Tb (0.4162, 0.4818, 0.1475)
Tb (0.4818, 0.1475, 0.4162)
Tb (0.5182, 0.8525, 0.5838)
Tb (0.5838, 0.5182, 0.8525)
Tb (0.6823, 0.8149, 0.2512)
Tb (0.7488, 0.3177, 0.1851)
Tb (0.8149, 0.2512, 0.6823)
Tb (0.8525, 0.5838, 0.5182)
Pm (0.0201, 0.0866, 0.3562)
Pm (0.0866, 0.3562, 0.0201)
Pm (0.3562, 0.0201, 0.0866)
Pm (0.5000, 0.5000, 0.5000)
Pm (0.6438, 0.9799, 0.9134)
Pm (0.9134, 0.6438, 0.9799)
Pm (0.9799, 0.9134, 0.6438)
Pr (0.0000, 0.0000, 0.0000)

Computed properties:
Crystal system: trigonal

---

Tb10PmPr4: relaxed, PBE-GGA.

Unit cell a=8.7496 b=8.7496 c=8.7496 alpha=112.04 beta=112.04 gamma=104.44
Positions (direct):
Tb (0.0445, 0.9505, 0.6760)
Tb (0.0495, 0.7255, 0.0940)
Tb (0.2500, 0.7500, 0.5000)
Tb (0.2745, 0.3686, 0.3240)
Tb (0.3686, 0.0445, 0.0940)
Tb (0.6314, 0.9555, 0.9060)
Tb (0.7255, 0.6314, 0.6760)
Tb (0.7500, 0.2500, 0.5000)
Tb (0.9505, 0.2745, 0.9060)
Tb (0.9555, 0.0495, 0.3240)
Pm (0.5000, 0.5000, 0.0000)
Pr (0.1677, 0.5637, 0.7313)
Pr (0.4363, 0.1677, 0.6040)
Pr (0.5637, 0.8323, 0.3960)
Pr (0.8323, 0.4363, 0.2687)

Computed properties:
Crystal system: tetragonal

---

Number 1: energy relative to the elements 62 meV per atom, spin magnetization 0.00 μB/f.u.. Number 2: energy relative to the elements 15 meV per atom, spin magnetization 0.00 μB/f.u.. Number 3: energy relative to the elements 383 meV per atom, spin magnetization 0.00 μB/f.u.. Number 4: energy relative to the elements 112 meV per atom, spin magnetization 0.00 μB/f.u.. Number 5: energy relative to the elements 186 meV per atom, spin magnetization 0.00 μB/f.u.. Number 6: energy relative to the elements 273 meV per atom, spin magnetization 0.00 μB/f.u.. Number 7: energy relative to the elements 299 meV per atom, spin magnetization 0.00 μB/f.u.. Number 8: energy relative to the elements 113 meV per atom, spin magnetization 0.00 μB/f.u.. Number 9: energy relative to the elements 356 meV per atom, spin magnetization 0.00 μB/f.u.. Number 10: energy relative to the elements 243 meV per atom, spin magnetization 0.00 μB/f.u.. Number 11: energy relative to the elements 277 meV per atom, spin magnetization 0.00 μB/f.u.. Number 12: energy relative to the elements 334 meV per atom, spin magnetization 0.00 μB/f.u..